The following is a DFT calculation (PBE-GGA) of a geometry-optimized Pr2NdPt9 structure.

Calculated values
N(E_F) ... 29.726 states/eV per cell
Density ... 15.5 Mg/m³
Total DFT energy (no corrections) ... -6.631 eV per atom
ΔH_f (0 K) ... -906 meV per atom

Cell lengths 5.4830, 5.4830, 26.8779 Å; angles 90.00, 90.00, 120.00 degrees
Space group R-3m (No. 166, hexagonal axes)
One atom of each set of equivalent atoms:
Pr 0.0000 0.0000 0.1392 [6 per cell]
Nd 0.0000 0.0000 0.0000 [3 per cell]
Pt 0.0000 0.0000 0.3328 [6 per cell]
Pt 0.0000 0.0000 0.5000 [3 per cell]
Pt 0.0034 0.5017 0.9159 [18 per cell]